DFT (PBE) results for a relaxed HfNi2BOs crystal.

```
data_HfNi2BOs
_space_group_name_H-M_alt 'P 4/m m m'
_space_group_IT_number 123
_space_group_name_Hall '-P 4 2'
_cell_length_a 3.949
_cell_length_b 3.949
_cell_length_c 4.114
_cell_angle_alpha 90.00
_cell_angle_beta 90.00
_cell_angle_gamma 90.00
loop_
_atom_site_label
_atom_site_type_symbol
_atom_site_fract_x
_atom_site_fract_y
_atom_site_fract_z
_atom_site_occupancy
Hf1 Hf 0.000 0.000 0.000 1
Ni1 Ni 0.000 0.500 0.500 1
B1 B 0.500 0.500 0.500 1
Os1 Os 0.500 0.500 0.000 1
```

uncorrected energy: -8.2780 eV/atom
energy relative to the elements: -393 meV per atom
size of the total moment: 0.00 μB per formula unit

***

DFT (PBE) results for a relaxed HfReNi2B crystal.

```
data_HfReNi2B
_space_group_name_H-M_alt 'P 4/m m m'
_space_group_IT_number 123
_space_group_name_Hall '-P 4 2'
_cell_length_a 3.849
_cell_length_b 3.849
_cell_length_c 4.482
_cell_angle_alpha 90.00
_cell_angle_beta 90.00
_cell_angle_gamma 90.00
loop_
_atom_site_label
_atom_site_type_symbol
_atom_site_fract_x
_atom_site_fract_y
_atom_site_fract_z
_atom_site_occupancy
Hf1 Hf 0.000 0.000 0.000 1
Re1 Re 0.500 0.500 0.000 1
Ni1 Ni 0.000 0.500 0.500 1
B1 B 0.000 0.000 0.500 1
```

uncorrected energy: -8.0052 eV/atom
energy relative to the elements: 123 meV per atom
size of the total moment: 0.00 μB per formula unit

***

DFT (PBE) results for a relaxed HfNi2BRh crystal.

```
data_HfNi2BRh
_space_group_name_H-M_alt 'P 4/m m m'
_space_group_IT_number 123
_space_group_name_Hall '-P 4 2'
_cell_length_a 3.940
_cell_length_b 3.940
_cell_length_c 4.131
_cell_angle_alpha 90.00
_cell_angle_beta 90.00
_cell_angle_gamma 90.00
loop_
_atom_site_label
_atom_site_type_symbol
_atom_site_fract_x
_atom_site_fract_y
_atom_site_fract_z
_atom_site_occupancy
Hf1 Hf 0.000 0.000 0.000 1
Ni1 Ni 0.000 0.500 0.500 1
B1 B 0.500 0.500 0.500 1
Rh1 Rh 0.500 0.500 0.000 1
```

uncorrected energy: -7.5576 eV/atom
energy relative to the elements: -449 meV per atom
size of the total moment: 0.00 μB per formula unit

***

DFT (PBE) results for a relaxed Hf2Ni2BRh4 crystal.

```
data_Hf2Ni2BRh4
_space_group_name_H-M_alt 'I 4/m m m'
_space_group_IT_number 139
_space_group_name_Hall '-I 4 2'
_cell_length_a 5.699
_cell_length_b 5.699
_cell_length_c 7.655
_cell_angle_alpha 90.00
_cell_angle_beta 90.00
_cell_angle_gamma 90.00
loop_
_atom_site_label
_atom_site_type_symbol
_atom_site_fract_x
_atom_site_fract_y
_atom_site_fract_z
_atom_site_occupancy
Hf1 Hf 0.000 0.500 0.250 1
Ni1 Ni 0.000 0.000 0.242 1
B1 B 0.000 0.000 0.500 1
Rh1 Rh 0.243 0.243 0.000 1
```

uncorrected energy: -8.3087 eV/atom
energy relative to the elements: -803 meV per atom
size of the total moment: 0.00 μB per formula unit

***

DFT (PBE) results for a relaxed HfNiBRu2 crystal.

```
data_HfNiBRu2
_space_group_name_H-M_alt 'P 4/m m m'
_space_group_IT_number 123
_space_group_name_Hall '-P 4 2'
_cell_length_a 4.149
_cell_length_b 4.149
_cell_length_c 3.858
_cell_angle_alpha 90.00
_cell_angle_beta 90.00
_cell_angle_gamma 90.00
loop_
_atom_site_label
_atom_site_type_symbol
_atom_site_fract_x
_atom_site_fract_y
_atom_site_fract_z
_atom_site_occupancy
Hf1 Hf 0.000 0.000 0.000 1
Ni1 Ni 0.500 0.500 0.000 1
B1 B 0.500 0.500 0.500 1
Ru1 Ru 0.000 0.500 0.500 1
```

uncorrected energy: -8.7029 eV/atom
energy relative to the elements: -510 meV per atom
size of the total moment: 0.49 μB per formula unit

***

DFT (PBE) results for a relaxed Hf2VNiB crystal.

```
data_Hf2VNiB
_space_group_name_H-M_alt 'P 4/m m m'
_space_group_IT_number 123
_space_group_name_Hall '-P 4 2'
_cell_length_a 4.861
_cell_length_b 4.861
_cell_length_c 3.677
_cell_angle_alpha 90.00
_cell_angle_beta 90.00
_cell_angle_gamma 90.00
loop_
_atom_site_label
_atom_site_type_symbol
_atom_site_fract_x
_atom_site_fract_y
_atom_site_fract_z
_atom_site_occupancy
Hf1 Hf 0.000 0.500 0.000 1
V1 V 0.000 0.000 0.500 1
Ni1 Ni 0.500 0.500 0.000 1
B1 B 0.500 0.500 0.500 1
```

uncorrected energy: -7.7649 eV/atom
energy relative to the elements: 532 meV per atom
size of the total moment: 2.87 μB per formula unit

***

DFT (PBE) results for a relaxed HfNpB crystal.

```
data_HfNpB
_space_group_name_H-M_alt 'C m c m'
_space_group_IT_number 63
_space_group_name_Hall '-C 2c 2'
_cell_length_a 3.497
_cell_length_b 17.162
_cell_length_c 3.208
_cell_angle_alpha 90.00
_cell_angle_beta 90.00
_cell_angle_gamma 90.00
loop_
_atom_site_label
_atom_site_type_symbol
_atom_site_fract_x
_atom_site_fract_y
_atom_site_fract_z
_atom_site_occupancy
Hf1 Hf 0.000 0.090 0.250 1
Np1 Np 0.000 0.279 0.250 1
B1 B 0.000 0.500 0.000 1
```

uncorrected energy: -9.8395 eV/atom
energy relative to the elements: 18 meV per atom
size of the total moment: 0.00 μB per formula unit

***

DFT (PBE) results for a relaxed HfBO3 crystal.

```
data_HfBO3
_space_group_name_H-M_alt 'P m -3 m'
_space_group_IT_number 221
_space_group_name_Hall '-P 4 2 3'
_cell_length_a 4.075
_cell_length_b 4.075
_cell_length_c 4.075
_cell_angle_alpha 90.00
_cell_angle_beta 90.00
_cell_angle_gamma 90.00
loop_
_atom_site_label
_atom_site_type_symbol
_atom_site_fract_x
_atom_site_fract_y
_atom_site_fract_z
_atom_site_occupancy
Hf1 Hf 0.000 0.000 0.000 1
B1 B 0.500 0.500 0.500 1
O1 O 0.000 0.000 0.500 1
```

uncorrected energy: -7.3048 eV/atom
ΔE_f (raw): -1.004 eV/atom
size of the total moment: 1.00 μB per formula unit

***

Among the records above, which one has the highest size of the total moment? Hf2VNiB

***

Which of these has the lowest uncorrected energy? HfNpB